# SmZrPd

An optimized crystal structure of SmZrPd (PBE, Alexandria via LeMat-Bulk).

Cell lengths 3.4783, 3.4783, 6.2813 Å; angles 106.07, 106.07, 90.00 degrees
With the nearest neighbours (Å) after each atom.
Fractional positions:
Zr: 0.3076 0.3076 0.6152  4 Pd 2.84
Sm: 0.0084 0.0084 0.0168  4 Pd 3.19, 5 Zr 3.38-3.46, 4 Sm 3.48
Pd: 0.6840 0.6840 0.3680  4 Zr 2.84

Computed properties:
DOS at the Fermi energy (states/eV per cell): 4.1
Formation enthalpy at 0 K (eV per atom): -0.387
SG: I4mm (107)
Magnetic moment (μB/f.u.): 0.00


# Be2V2As

An optimized crystal structure of Be2V2As (PBE, Alexandria via LeMat-Bulk).

Cell lengths 5.7973, 5.7973, 3.3781 Å; angles 90.00, 90.00, 90.00 degrees
With the nearest neighbours (Å) after each atom.
Fractional positions:
V: 0.3247 0.1753 0.5000  6 Be 2.38-2.43
V: 0.6753 0.8247 0.5000  6 Be 2.38-2.43
V: 0.1753 0.6753 0.5000  6 Be 2.38-2.43
V: 0.8247 0.3247 0.5000  6 Be 2.38-2.43
Be: 0.8795 0.6205 0.0000  1 Be 1.98
Be: 0.6205 0.1205 0.0000  1 Be 1.98
Be: 0.1205 0.3795 0.0000  1 Be 1.98
Be: 0.3795 0.8795 0.0000  1 Be 1.98
As: 0.0000 0.0000 0.0000  4 Be 2.31
As: 0.5000 0.5000 0.0000  4 Be 2.31

Computed properties:
DOS at the Fermi energy (states/eV per cell): 9.7
Formation enthalpy at 0 K (eV per atom): -0.101
SG: P4/mbm (127)
Magnetic moment (μB/f.u.): 1.38


# Cr3Mo5

An optimized crystal structure of Cr3Mo5 (PBE, Alexandria via LeMat-Bulk).

Cell lengths 7.2694, 7.2694, 5.1069 Å; angles 90.00, 90.00, 120.00 degrees
With the nearest neighbours (Å) after each atom.
Fractional positions:
Mo: 0.6667 0.3333 0.0000  2 Mo 2.55, 6 Cr 2.56
Mo: 0.0000 0.2363 0.2500  5 Cr 2.54-2.82
Mo: 0.3333 0.6667 0.5000  2 Mo 2.55, 6 Cr 2.56
Mo: 0.7637 0.0000 0.7500  5 Cr 2.54-2.82
Mo: 0.7637 0.7637 0.2500  5 Cr 2.54-2.82
Mo: 0.0000 0.7637 0.7500  5 Cr 2.54-2.82
Mo: 0.2363 0.2363 0.7500  5 Cr 2.54-2.82
Mo: 0.3333 0.6667 0.0000  2 Mo 2.55, 6 Cr 2.56
Mo: 0.2363 0.0000 0.2500  5 Cr 2.54-2.82
Mo: 0.6667 0.3333 0.5000  2 Mo 2.55, 6 Cr 2.56
Cr: 0.4008 0.0000 0.7500  9 Mo 2.54-2.82
Cr: 0.4008 0.4008 0.2500  9 Mo 2.54-2.82
Cr: 0.0000 0.4008 0.7500  9 Mo 2.54-2.82
Cr: 0.5992 0.5992 0.7500  9 Mo 2.54-2.82
Cr: 0.5992 0.0000 0.2500  9 Mo 2.54-2.82
Cr: 0.0000 0.5992 0.2500  9 Mo 2.54-2.82

Computed properties:
DOS at the Fermi energy (states/eV per cell): 13.6
Formation enthalpy at 0 K (eV per atom): 0.225
SG: P6_3/mcm (193)
Magnetic moment (μB/f.u.): 0.00


# NaV2Re

An optimized crystal structure of NaV2Re (PBE, Alexandria via LeMat-Bulk).

Cell lengths 3.8239, 3.8239, 9.4285 Å; angles 78.30, 78.30, 90.00 degrees
With the nearest neighbours (Å) after each atom.
Fractional positions:
Re: 0.0000 0.0000 0.0000  4 V 2.59, 4 Na 2.70
Re: 0.7500 0.2500 0.5000  4 V 2.59, 4 Na 2.70
V: 0.3750 0.3406 0.7500  2 V 2.52, 2 Re 2.59, 2 Na 2.68
V: 0.8750 0.9094 0.7500  2 V 2.52, 2 Re 2.59, 2 Na 2.68
V: 0.0906 0.6250 0.2500  2 V 2.52, 2 Re 2.59, 2 Na 2.68
V: 0.6594 0.1250 0.2500  2 V 2.52, 2 Re 2.59, 2 Na 2.68
Na: 0.5000 0.5000 0.0000  4 V 2.68, 4 Re 2.70
Na: 0.2500 0.7500 0.5000  4 V 2.68, 4 Re 2.70

Computed properties:
DOS at the Fermi energy (states/eV per cell): 10.0
Formation enthalpy at 0 K (eV per atom): 1.380
SG: I-42d (122)
Magnetic moment (μB/f.u.): 0.00


# KMg2V

An optimized crystal structure of KMg2V (PBE, Alexandria via LeMat-Bulk).

Cell lengths 8.6388, 8.6388, 6.9604 Å; angles 51.64, 51.64, 90.00 degrees
With the nearest neighbours (Å) after each atom.
Fractional positions:
Mg: 0.6788 0.1250 0.2500  2 V 2.87
Mg: 0.8750 0.9288 0.7500  2 V 2.87
Mg: 0.3750 0.3212 0.7500  2 V 2.87
Mg: 0.0712 0.6250 0.2500  2 V 2.87
K: 0.2500 0.7500 0.5000  2 V 3.34, 8 Mg 3.50-3.71
K: 0.5000 0.5000 0.0000  2 V 3.34, 8 Mg 3.50-3.71
V: 0.0000 0.0000 0.0000  4 Mg 2.87
V: 0.7500 0.2500 0.5000  4 Mg 2.87

Computed properties:
DOS at the Fermi energy (states/eV per cell): 5.3
Formation enthalpy at 0 K (eV per atom): 0.868
SG: I-42d (122)
Magnetic moment (μB/f.u.): 4.14


# ScZn2Mo

An optimized crystal structure of ScZn2Mo (PBE, Alexandria via LeMat-Bulk).

Cell lengths 3.8817, 3.8817, 10.1307 Å; angles 78.96, 78.96, 90.00 degrees
With the nearest neighbours (Å) after each atom.
Fractional positions:
Sc: 0.5000 0.5000 0.0000  4 Mo 2.74, 4 Zn 2.85
Sc: 0.2500 0.7500 0.5000  4 Mo 2.74, 4 Zn 2.85
Zn: 0.3750 0.3369 0.7500  2 Zn 2.54, 2 Mo 2.75
Zn: 0.6631 0.1250 0.2500  2 Zn 2.54, 2 Mo 2.75
Zn: 0.8750 0.9131 0.7500  2 Zn 2.54, 2 Mo 2.75
Zn: 0.0869 0.6250 0.2500  2 Zn 2.54, 2 Mo 2.75
Mo: 0.7500 0.2500 0.5000  4 Sc 2.74, 4 Zn 2.75
Mo: 0.0000 0.0000 0.0000  4 Sc 2.74, 4 Zn 2.75

Computed properties:
DOS at the Fermi energy (states/eV per cell): 8.8
Formation enthalpy at 0 K (eV per atom): 0.448
SG: I-42d (122)
Magnetic moment (μB/f.u.): 0.00


# TbThZnHg

An optimized crystal structure of TbThZnHg (PBE, Alexandria via LeMat-Bulk).

Cell lengths 5.2671, 5.2671, 5.2671 Å; angles 60.00, 60.00, 60.00 degrees
With the nearest neighbours (Å) after each atom.
Fractional positions:
Hg: 0.5000 0.5000 0.5000  4 Tb 3.23, 4 Th 3.23
Tb: 0.7500 0.7500 0.7500  4 Zn 3.23, 4 Hg 3.23
Zn: 0.0000 0.0000 0.0000  4 Tb 3.23, 4 Th 3.23
Th: 0.2500 0.2500 0.2500  4 Hg 3.23, 4 Zn 3.23

Computed properties:
DOS at the Fermi energy (states/eV per cell): 6.2
Formation enthalpy at 0 K (eV per atom): -0.249
SG: F-43m (216)
Magnetic moment (μB/f.u.): 0.43


Number 6 is which compound?
ScZn2Mo